[1]
Material: AcTcPt
Method: DFT, PBE
State: relaxed

Values from the calculation:
- calculated formation energy (meV/atom) = -27

Structure (CIF):
```
data_AcTcPt
_symmetry_space_group_name_H-M 'A m m 2'
_symmetry_Int_Tables_number 38
_symmetry_space_group_name_Hall 'A 2 -2'
_cell_length_a 10.553
_cell_length_b 5.119
_cell_length_c 5.111
_cell_angle_alpha 90.00
_cell_angle_beta 90.00
_cell_angle_gamma 90.00
loop_
_atom_site_label
_atom_site_type_symbol
_atom_site_fract_x
_atom_site_fract_y
_atom_site_fract_z
Ac1 Ac 0.185 0.000 0.000
Tc1 Tc 0.391 0.000 0.500
Pt1 Pt 0.000 0.000 0.500
Pt2 Pt 0.500 0.000 0.999
```



[2]
Material: La7Pr2Ho2
Method: DFT, PBE
State: relaxed

Values from the calculation:
- polymorph energy (0 for the lowest one) (meV per atom) = 32
- calculated formation energy (meV/atom) = 142

Structure (CIF):
```
data_La7Pr2Ho2
_symmetry_space_group_name_H-M 'C 1 2/m 1'
_symmetry_Int_Tables_number 12
_symmetry_space_group_name_Hall '-C 2y'
_cell_length_a 9.929
_cell_length_b 9.566
_cell_length_c 8.667
_cell_angle_alpha 90.00
_cell_angle_beta 103.93
_cell_angle_gamma 90.00
loop_
_atom_site_label
_atom_site_type_symbol
_atom_site_fract_x
_atom_site_fract_y
_atom_site_fract_z
La1 La 0.000 0.000 0.000
La2 La 0.099 0.500 0.848
La3 La 0.201 0.300 0.183
Pr1 Pr 0.199 0.500 0.522
Ho1 Ho 0.000 0.190 0.500
```



[3]
Material: La4ThCd3
Method: DFT, PBE
State: relaxed

Values from the calculation:
- calculated formation energy (meV/atom) = -196

Structure (CIF):
```
data_La4ThCd3
_symmetry_space_group_name_H-M 'P m m m'
_symmetry_Int_Tables_number 47
_symmetry_space_group_name_Hall '-P 2 2'
_cell_length_a 3.717
_cell_length_b 5.760
_cell_length_c 11.633
_cell_angle_alpha 90.00
_cell_angle_beta 90.00
_cell_angle_gamma 90.00
loop_
_atom_site_label
_atom_site_type_symbol
_atom_site_fract_x
_atom_site_fract_y
_atom_site_fract_z
La1 La 0.000 0.000 0.000
La2 La 0.000 0.000 0.500
La3 La 0.000 0.500 0.242
Th1 Th 0.500 0.500 0.500
Cd1 Cd 0.500 0.000 0.253
Cd2 Cd 0.500 0.500 0.000
```



[4]
Material: AcTbPm2Bi4
Method: DFT, PBE
State: relaxed

Values from the calculation:
- calculated formation energy (meV/atom) = -916

Structure (CIF):
```
data_AcTbPm2Bi4
_symmetry_space_group_name_H-M 'P 1 2/m 1'
_symmetry_Int_Tables_number 10
_symmetry_space_group_name_Hall '-P 2y'
_cell_length_a 8.029
_cell_length_b 4.641
_cell_length_c 8.037
_cell_angle_alpha 90.00
_cell_angle_beta 109.42
_cell_angle_gamma 90.00
loop_
_atom_site_label
_atom_site_type_symbol
_atom_site_fract_x
_atom_site_fract_y
_atom_site_fract_z
Ac1 Ac 0.000 0.000 0.000
Tb1 Tb 0.500 0.500 0.000
Pm1 Pm 0.000 0.500 0.500
Pm2 Pm 0.500 0.000 0.500
Bi1 Bi 0.259 0.000 0.748
Bi2 Bi 0.263 0.500 0.259
```



[5]
Material: CsCeAg2I6
Method: DFT, PBE
State: relaxed

Values from the calculation:
- ΔE_f (raw) (kJ/mol of atoms) = -92

Structure (CIF):
```
data_CsCeAg2I6
_symmetry_space_group_name_H-M 'C 1 2/c 1'
_symmetry_Int_Tables_number 15
_symmetry_space_group_name_Hall '-C 2yc'
_cell_length_a 16.105
_cell_length_b 13.803
_cell_length_c 9.991
_cell_angle_alpha 90.00
_cell_angle_beta 113.24
_cell_angle_gamma 90.00
loop_
_atom_site_label
_atom_site_type_symbol
_atom_site_fract_x
_atom_site_fract_y
_atom_site_fract_z
Cs1 Cs 0.000 0.187 0.250
Ce1 Ce 0.000 0.247 0.750
Ag1 Ag 0.227 0.346 0.912
I1 I 0.092 0.395 0.003
I2 I 0.101 0.076 0.975
I3 I 0.165 0.241 0.652
```



[6]
Material: Hf3Al12Fe
Method: DFT, PBE
State: relaxed

Values from the calculation:
- calculated formation energy (meV/atom) = -305

Structure (CIF):
```
data_Hf3Al12Fe
_symmetry_space_group_name_H-M 'P 4/m m m'
_symmetry_Int_Tables_number 123
_symmetry_space_group_name_Hall '-P 4 2'
_cell_length_a 4.059
_cell_length_b 4.059
_cell_length_c 15.752
_cell_angle_alpha 90.00
_cell_angle_beta 90.00
_cell_angle_gamma 90.00
loop_
_atom_site_label
_atom_site_type_symbol
_atom_site_fract_x
_atom_site_fract_y
_atom_site_fract_z
Hf1 Hf 0.000 0.000 0.000
Hf2 Hf 0.000 0.000 0.259
Al1 Al 0.000 0.500 0.130
Al2 Al 0.000 0.500 0.394
Al3 Al 0.500 0.500 0.000
Al4 Al 0.500 0.500 0.262
Al5 Al 0.500 0.500 0.500
Fe1 Fe 0.000 0.000 0.500
```



[7]
Material: TbHo3Ir
Method: DFT, PBE
State: relaxed

Values from the calculation:
- polymorph energy (0 for the lowest one) (meV per atom) = 0
- calculated formation energy (meV/atom) = -345

Structure (CIF):
```
data_TbHo3Ir
_symmetry_space_group_name_H-M 'P m n 21'
_symmetry_Int_Tables_number 31
_symmetry_space_group_name_Hall 'P 2ac -2'
_cell_length_a 7.588
_cell_length_b 6.511
_cell_length_c 6.159
_cell_angle_alpha 90.00
_cell_angle_beta 90.00
_cell_angle_gamma 90.00
loop_
_atom_site_label
_atom_site_type_symbol
_atom_site_fract_x
_atom_site_fract_y
_atom_site_fract_z
Tb1 Tb 0.000 0.151 0.000
Ho1 Ho 0.000 0.847 0.493
Ho2 Ho 0.249 0.314 0.497
Ir1 Ir 0.000 0.502 0.747
```



[8]
Material: KV2SnRu
Method: DFT, PBE
State: relaxed

Values from the calculation:
- calculated formation energy (meV/atom) = 2525

Structure (CIF):
```
data_KV2SnRu
_symmetry_space_group_name_H-M 'P 4/m m m'
_symmetry_Int_Tables_number 123
_symmetry_space_group_name_Hall '-P 4 2'
_cell_length_a 4.376
_cell_length_b 4.376
_cell_length_c 5.381
_cell_angle_alpha 90.00
_cell_angle_beta 90.00
_cell_angle_gamma 90.00
loop_
_atom_site_label
_atom_site_type_symbol
_atom_site_fract_x
_atom_site_fract_y
_atom_site_fract_z
K1 K 0.000 0.000 0.000
V1 V 0.000 0.500 0.000
Sn1 Sn 0.000 0.000 0.500
Ru1 Ru 0.500 0.500 0.500
```



[9]
Material: Tb3BSe2
Method: DFT, PBE
State: relaxed

Values from the calculation:
- ΔE_f (raw) (kJ/mol of atoms) = -128

Structure (CIF):
```
data_Tb3BSe2
_symmetry_space_group_name_H-M 'F d d d'
_symmetry_Int_Tables_number 70
_cell_length_a 8.119
_cell_length_b 11.383
_cell_length_c 23.899
_cell_angle_alpha 90.00
_cell_angle_beta 90.00
_cell_angle_gamma 90.00
loop_
_symmetry_equiv_pos_as_xyz
'x,y,z'
'-x,-y,-z'
'-x+1/4,-y+1/4,z'
'x+1/4,y+1/4,-z'
'x,-y+1/4,-z+1/4'
'-x,y+1/4,z+1/4'
'-x+1/4,y,-z+1/4'
'x+1/4,-y,z+1/4'
'x,y+1/2,z+1/2'
'-x,-y+1/2,-z+1/2'
'-x+1/4,-y+3/4,z+1/2'
'x+1/4,y+3/4,-z+1/2'
'x,-y+3/4,-z+3/4'
'-x,y+3/4,z+3/4'
'-x+1/4,y+1/2,-z+3/4'
'x+1/4,-y+1/2,z+3/4'
'x+1/2,y,z+1/2'
'-x+1/2,-y,-z+1/2'
'-x+3/4,-y+1/4,z+1/2'
'x+3/4,y+1/4,-z+1/2'
'x+1/2,-y+1/4,-z+3/4'
'-x+1/2,y+1/4,z+3/4'
'-x+3/4,y,-z+3/4'
'x+3/4,-y,z+3/4'
'x+1/2,y+1/2,z'
'-x+1/2,-y+1/2,-z'
'-x+3/4,-y+3/4,z'
'x+3/4,y+3/4,-z'
'x+1/2,-y+3/4,-z+1/4'
'-x+1/2,y+3/4,z+1/4'
'-x+3/4,y+1/2,-z+1/4'
'x+3/4,-y+1/2,z+1/4'
loop_
_atom_site_label
_atom_site_type_symbol
_atom_site_fract_x
_atom_site_fract_y
_atom_site_fract_z
Tb1 Tb 0.092 0.375 0.375
Tb2 Tb 0.110 0.360 0.214
B1 B 0.125 0.125 0.041
Se1 Se 0.125 0.125 0.379
Se2 Se 0.125 0.125 0.545
```



[10]
Material: TbCdAg
Method: DFT, PBE
State: relaxed

Values from the calculation:
- calculated formation energy (meV/atom) = -141

Structure (CIF):
```
data_TbCdAg
_symmetry_space_group_name_H-M 'F -4 3 m'
_symmetry_Int_Tables_number 216
_symmetry_space_group_name_Hall 'F -4 2 3'
_cell_length_a 6.819
_cell_length_b 6.819
_cell_length_c 6.819
_cell_angle_alpha 90.00
_cell_angle_beta 90.00
_cell_angle_gamma 90.00
loop_
_atom_site_label
_atom_site_type_symbol
_atom_site_fract_x
_atom_site_fract_y
_atom_site_fract_z
Tb1 Tb 0.000 0.000 0.000
Cd1 Cd 0.000 0.000 0.500
Ag1 Ag 0.250 0.250 0.750
```



[11]
Material: Y2HoPt2
Method: DFT, PBE
State: relaxed

Values from the calculation:
- calculated formation energy (meV/atom) = -1064

Structure (CIF):
```
data_Y2HoPt2
_symmetry_space_group_name_H-M 'P 4/m b m'
_symmetry_Int_Tables_number 127
_symmetry_space_group_name_Hall '-P 4 2ab'
_cell_length_a 7.681
_cell_length_b 7.681
_cell_length_c 4.046
_cell_angle_alpha 90.00
_cell_angle_beta 90.00
_cell_angle_gamma 90.00
loop_
_atom_site_label
_atom_site_type_symbol
_atom_site_fract_x
_atom_site_fract_y
_atom_site_fract_z
Y1 Y 0.161 0.339 0.000
Ho1 Ho 0.000 0.000 0.500
Pt1 Pt 0.140 0.640 0.500
```



[12]
Material: La2DyZn
Method: DFT, PBE
State: relaxed

Values from the calculation:
- polymorph energy (0 for the lowest one) (meV per atom) = 28
- calculated formation energy (meV/atom) = -129

Structure (CIF):
```
data_La2DyZn
_symmetry_space_group_name_H-M 'P 4/m m m'
_symmetry_Int_Tables_number 123
_symmetry_space_group_name_Hall '-P 4 2'
_cell_length_a 3.744
_cell_length_b 3.744
_cell_length_c 8.779
_cell_angle_alpha 90.00
_cell_angle_beta 90.00
_cell_angle_gamma 90.00
loop_
_atom_site_label
_atom_site_type_symbol
_atom_site_fract_x
_atom_site_fract_y
_atom_site_fract_z
La1 La 0.000 0.000 0.213
Dy1 Dy 0.500 0.500 0.500
Zn1 Zn 0.500 0.500 0.000
```



Total energy across the listed records, respectively: -82.39; -103.28; -31.44; -41.09; -125.10; -88.11; -57.90; -19.99; -567.52; -35.27; -69.82; -16.25 eV per cell.